# 1
This record from Alexandria describes crystalline YZnTc2 at its relaxed geometry. The functional is PBE.

The space group is P4/mmm, No. 123. As for the density of states at the Fermi level: 0.701 states/eV per atom. The value obtained for the formation energy is 0.119 eV/atom.

a = 3.409 Å, b = 3.407 Å, c = 6.260 Å
α = 90.00°, β = 90.00°, γ = 90.00°
Atoms (fractional coordinates):
Y 0.500 0.500 0.250
Tc 0.000 0.000 0.935
Tc 0.000 0.000 0.565
Zn 0.500 0.500 0.750


# 2
This record from Alexandria describes crystalline Y2ZnTc at its relaxed geometry. The functional is PBE.

The space group is R3m, No. 160. As for the density of states at the Fermi level: 0.788 states/eV per atom. The value obtained for the formation energy is 0.257 eV/atom.

a = 9.322 Å, b = 9.322 Å, c = 9.322 Å
α = 21.36°, β = 21.36°, γ = 21.36°
Atoms (fractional coordinates):
Y 0.235 0.235 0.235
Y 0.020 0.020 0.020
Tc 0.759 0.759 0.759
Zn 0.486 0.486 0.486


# 3
This record from Alexandria describes crystalline Y2ZnTc at its relaxed geometry. The functional is PBE.

The space group is F-43m, No. 216. As for the density of states at the Fermi level: 1.210 states/eV per atom. The value obtained for the formation energy is 0.178 eV/atom.

a = 4.875 Å, b = 4.875 Å, c = 4.875 Å
α = 60.00°, β = 60.00°, γ = 60.00°
Atoms (fractional coordinates):
Y 0.250 0.250 0.250
Y 0.000 0.000 0.000
Tc 0.500 0.500 0.500
Zn 0.750 0.750 0.750


# 4
This record from Alexandria describes crystalline YZnTc2 at its relaxed geometry. The functional is PBE.

The space group is P4/mmm, No. 123. As for the density of states at the Fermi level: 1.355 states/eV per atom. The value obtained for the formation energy is 0.442 eV/atom.

a = 2.814 Å, b = 2.814 Å, c = 8.697 Å
α = 90.00°, β = 90.00°, γ = 90.00°
Atoms (fractional coordinates):
Tc 0.000 0.000 0.531
Tc 0.000 0.000 0.969
Zn 0.500 0.500 0.750
Y 0.500 0.500 0.250


# 5
This record from Alexandria describes crystalline Y8Zn2Tc at its relaxed geometry. The functional is PBE.

The space group is C2/m, No. 12. As for the density of states at the Fermi level: 0.651 states/eV per atom. The offset from the most stable computed form is 0.0 meV/atom. The value obtained for the formation energy is -0.140 eV/atom.

a = 5.218 Å, b = 6.833 Å, c = 9.139 Å
α = 108.15°, β = 106.59°, γ = 90.00°
Atoms (fractional coordinates):
Y 0.196 0.307 0.391
Y 0.662 0.968 0.324
Y 0.409 0.564 0.817
Y 0.338 0.032 0.676
Y 0.804 0.693 0.609
Y 0.591 0.436 0.183
Y 0.027 0.793 0.053
Y 0.973 0.207 0.947
Zn 0.182 0.713 0.365
Zn 0.818 0.287 0.635
Tc 0.500 0.000 0.000


# 6
This record from Alexandria describes crystalline YZnTc2 at its relaxed geometry. The functional is PBE.

The space group is P4mm, No. 99. As for the density of states at the Fermi level: 0.589 states/eV per atom. The value obtained for the formation energy is -0.056 eV/atom.

a = 3.130 Å, b = 3.130 Å, c = 7.276 Å
α = 90.00°, β = 90.00°, γ = 90.00°
Atoms (fractional coordinates):
Y 0.000 0.000 0.492
Zn 0.500 0.500 0.794
Tc 0.500 0.500 0.200
Tc 0.000 0.000 0.015


# 7
This record from Alexandria describes crystalline YZnTc2 at its relaxed geometry. The functional is PBE.

The space group is P4/mmm, No. 123. As for the density of states at the Fermi level: 0.918 states/eV per atom. The value obtained for the formation energy is 0.208 eV/atom.

a = 3.957 Å, b = 3.957 Å, c = 4.414 Å
α = 90.00°, β = 90.00°, γ = 90.00°
Atoms (fractional coordinates):
Zn 0.000 0.500 0.500
Y 0.500 0.000 0.500
Tc 0.000 0.000 0.000
Tc 0.500 0.500 0.000


# 8
This record from Alexandria describes crystalline YZnTc4 at its relaxed geometry. The functional is PBE.

The space group is F-43m, No. 216. As for the density of states at the Fermi level: 0.993 states/eV per atom. The value obtained for the formation energy is 0.096 eV/atom.

a = 5.271 Å, b = 5.271 Å, c = 5.271 Å
α = 60.00°, β = 60.00°, γ = 60.00°
Atoms (fractional coordinates):
Y 0.750 0.750 0.750
Tc 0.374 0.374 0.878
Tc 0.374 0.878 0.374
Tc 0.878 0.374 0.374
Tc 0.374 0.374 0.374
Zn 0.000 0.000 0.000